! LaPOs (GGA-PBE, relaxed); values from VASP
! E	-48.05	eV per cell
! calculated formation energy	-0.82	eV per atom
! N(E_F)	0.262	states/eV/atom
&SYSTEM
  ibrav = 0, nat = 6, ntyp = 3
/
ATOMIC_SPECIES
Os 190.23 Os.upf
La 138.91 La.upf
P 30.97 P.upf
CELL_PARAMETERS angstrom
-2.2588 -1.9242 -2.7677
3.0188 0.3277 -2.6915
2.9889 -7.0891 2.4892
ATOMIC_POSITIONS crystal
Os 0.0000 0.0000 0.5000
La 0.5000 0.0000 0.1979
P 0.5000 0.0000 0.6560
P 0.0000 0.5000 0.3440
Os 0.5000 0.5000 0.5000
La 0.0000 0.5000 0.8021